# 1
DFT (PBE) results for an optimized crystal structure of La3Mg3In2Pt.

Computed properties:
Uncorrected energy   -4.0052 eV/atom

a b c (Å): 7.659 7.659 4.773
angles (deg): 90.00 90.00 120.00
Element x y z (fractional)
Mg (0.227, 0.227, 0.500)
Mg (0.000, 0.773, 0.500)
Mg (0.773, 0.000, 0.500)
In (0.333, 0.667, 0.500)
In (0.667, 0.333, 0.500)
La (0.394, 0.000, 0.000)
La (0.000, 0.394, 0.000)
La (0.606, 0.606, 0.000)
Pt (0.000, 0.000, 0.000)


# 2
DFT (PBE) results for an optimized crystal structure of LaMg2InPt.

Computed properties:
Uncorrected energy   -3.9688 eV/atom

a b c (Å): 7.088 7.088 7.088
angles (deg): 144.58 144.58 50.97
Element x y z (fractional)
Mg (0.261, 0.761, 0.500)
Mg (0.761, 0.261, 0.500)
Pt (0.391, 0.391, 0.000)
La (0.983, 0.983, 0.000)
In (0.604, 0.604, 0.000)


# 3
DFT (PBE) results for an optimized crystal structure of LaTb2Mg3In3.

Computed properties:
Uncorrected energy   -3.4144 eV/atom

a b c (Å): 4.738 7.688 7.688
angles (deg): 121.02 90.00 90.00
Element x y z (fractional)
Mg (0.500, 0.757, 0.757)
Mg (0.500, 0.242, 0.000)
Mg (0.500, 0.000, 0.242)
In (0.500, 0.673, 0.330)
In (0.000, 0.991, 0.991)
In (0.500, 0.330, 0.673)
Tb (0.000, 0.573, 0.002)
Tb (0.000, 0.002, 0.573)
La (0.000, 0.433, 0.433)